Entry 1:
The following is a GGA-PBE calculation of crystalline Zr3RuS at its relaxed geometry, from Alexandria via LeMat-Bulk.

Structure (POSCAR):
```
Zr3RuS
1.0
-1.874 -4.307 -0.618
2.644 -1.662 3.563
-3.456 1.065 3.061
Zr Ru S
3 1 1
direct
0.500 0.000 0.000
0.000 0.500 0.000
0.000 0.000 0.500
0.500 0.500 0.500
0.000 0.000 0.000
```

Results
DOS at the Fermi energy = 3.7 states/eV/cell
Uncorrected formation energy = -0.18 eV per atom
Energy relative to the lowest polymorph listed for this composition = 0.00 kcal/mol of atoms
Density = 6.35 g/cm³


Entry 2:
The following is a GGA-PBE calculation of crystalline SbRu at its relaxed geometry, from Alexandria via LeMat-Bulk.

Structure (POSCAR):
```
SbRu
1.0
4.323 0.000 0.000
0.000 3.201 0.010
0.000 4.793 5.209
Ru Sb
2 2
direct
0.250 0.727 0.682
0.750 0.273 0.318
0.750 0.068 0.788
0.250 0.932 0.212
```

Results
DOS at the Fermi energy = 2.9 states/eV/cell
Uncorrected formation energy = 0.03 eV per atom
Density = 10.30 g/cm³


Entry 3:
The following is a GGA-PBE calculation of crystalline SbRu at its relaxed geometry, from Alexandria via LeMat-Bulk.

Structure (POSCAR):
```
SbRu
1.0
-2.319 -5.762 -1.741
0.581 -5.756 -2.853
1.959 -2.252 5.097
Ru Sb
3 3
direct
0.383 0.383 0.328
0.720 0.720 0.492
0.331 0.331 0.791
0.711 0.711 0.041
0.042 0.042 0.515
0.979 0.979 0.001
```

Results
DOS at the Fermi energy = 4.2 states/eV/cell
Uncorrected formation energy = 0.18 eV per atom
Density = 9.66 g/cm³


Entry 4:
The following is a GGA-PBE calculation of crystalline Sb5Ru at its relaxed geometry, from Alexandria via LeMat-Bulk.

Structure (POSCAR):
```
Sb5Ru
1.0
1.011 -3.686 4.781
-3.146 -5.221 0.559
2.816 -5.373 -0.819
Ru Sb
1 5
direct
0.000 0.000 0.000
0.124 0.625 0.625
0.625 0.625 0.124
0.625 0.124 0.625
0.250 0.250 0.250
0.625 0.625 0.625
```

Results
DOS at the Fermi energy = 6.9 states/eV/cell
Uncorrected formation energy = 0.91 eV per atom
Energy relative to the lowest polymorph listed for this composition = 19.81 kcal/mol of atoms
Density = 7.27 g/cm³